CrReI2O: optimized geometry, PBE with a Hubbard U.

Cell lengths 5.8050, 5.8050, 3.6401 Å; angles 90.00, 90.00, 90.00 degrees
Closest atoms and distances in Å follow each position.
Space group P4/mmm (No. 123)
Symmetry-distinct sites (fractional):
1 Cr 0.0000 0.0000 0.0000 x1  2 O 1.82
2 Re 0.5000 0.5000 0.5000 x1  8 I 3.43, 2 Re 3.64
3 I 0.0000 0.5000 0.0000 x2  2 Cr 2.90
4 O 0.0000 0.0000 0.5000 x1  2 Cr 1.82

The value obtained for the total DFT energy (no corrections) is -24.918 eV per formula unit. The value obtained for the density of states at the Fermi level is 2.15 states/eV/cell. The energy above the lowest structure with this stoichiometry comes out at 630.0 meV per atom.